Entry 1:
A relaxed structure of Co2HgBi, computed with PBE.

Results
- Energy above the most stable polymorph in this dataset: 0 meV/atom
- Crystal system: cubic

Geometry as POSCAR:
```
Co2HgBi
1.0
0.0000 3.2389 3.2389
3.2389 0.0000 3.2389
3.2389 3.2389 0.0000
Co Bi Hg
2 1 1
direct
0.2500 0.2500 0.2500
0.7500 0.7500 0.7500
0.5000 0.5000 0.5000
0.0000 0.0000 0.0000
```


Entry 2:
A relaxed structure of Co3HgBi, computed with PBE.

Results
- Energy above the most stable polymorph in this dataset: 5 meV/atom
- Crystal system: cubic

Geometry as POSCAR:
```
Co3HgBi
1.0
4.9037 0.0000 0.0000
0.0000 4.9037 0.0000
0.0000 0.0000 4.9037
Co Bi Hg
3 1 1
direct
0.0000 0.5000 0.0000
0.0000 0.0000 0.5000
0.5000 0.0000 0.0000
0.0000 0.0000 0.0000
0.5000 0.5000 0.5000
```


Entry 3:
A relaxed structure of KCo2HgBi, computed with PBE.

Results
- Crystal system: tetragonal

Geometry as POSCAR:
```
KCo2HgBi
1.0
4.8793 0.0000 0.0000
0.0000 5.5900 0.0000
0.0000 0.0000 4.8793
K Co Bi Hg
1 2 1 1
direct
0.0000 0.0000 0.0000
0.0000 0.0000 0.5000
0.5000 0.0000 0.0000
0.5000 0.5000 0.5000
0.0000 0.5000 0.0000
```


Entry 4:
A relaxed structure of La2CoHgBi, computed with PBE.

Results
- Crystal system: tetragonal

Geometry as POSCAR:
```
La2CoHgBi
1.0
-5.0539 1.5187 0.3510
-0.8753 -1.7796 -4.9029
-1.2172 -4.4761 1.8420
La Co Bi Hg
2 1 1 1
direct
0.0000 0.5000 0.0000
0.5000 0.0000 0.0000
0.0000 0.0000 0.0000
0.5000 0.5000 0.5000
0.0000 0.0000 0.5000
```


Entry 5:
A relaxed structure of MgCoHg2Bi, computed with PBE.

Results
- Crystal system: tetragonal

Geometry as POSCAR:
```
MgCoHg2Bi
1.0
-2.0069 4.5921 0.1492
-3.9149 -1.7838 2.2436
2.1783 0.8076 4.4430
Mg Co Bi Hg
1 1 1 2
direct
0.0000 0.5000 0.0000
0.0000 0.0000 0.0000
0.5000 0.5000 0.5000
0.0000 0.0000 0.5000
0.5000 0.0000 0.0000
```


Entry 6:
A relaxed structure of NaCoHg2Bi, computed with PBE.

Results
- Crystal system: tetragonal

Geometry as POSCAR:
```
NaCoHg2Bi
1.0
5.1524 0.0000 0.0000
0.0000 5.1524 0.0000
0.0000 0.0000 4.9301
Na Co Bi Hg
1 1 1 2
direct
0.5000 0.5000 0.5000
0.0000 0.0000 0.0000
0.0000 0.0000 0.5000
0.0000 0.5000 0.0000
0.5000 0.0000 0.0000
```


Entry 7:
A relaxed structure of Co2NiHgBi, computed with PBE.

Results
- Crystal system: tetragonal

Geometry as POSCAR:
```
Co2NiHgBi
1.0
4.5420 0.0000 0.0000
0.0000 4.8850 0.0000
0.0000 0.0000 4.5420
Ni Co Bi Hg
1 2 1 1
direct
0.0000 0.0000 0.0000
0.0000 0.0000 0.5000
0.5000 0.0000 0.0000
0.0000 0.5000 0.0000
0.5000 0.5000 0.5000
```


| no. | M_tot (μB/cell) | raw total energy (eV per atom) | formation enthalpy at 0 K (eV per atom) |
| --- | --- | --- | --- |
| 1 | 1.8 | -4.0836 | 0.5150 |
| 2 | 5.7 | -3.7046 | 1.3954 |
| 3 | 3.5 | -2.1196 | 1.7788 |
| 4 | 0.0 | -4.7337 | -0.5050 |
| 5 | 1.1 | -2.2670 | 0.3700 |
| 6 | 0.4 | -2.5103 | 0.0716 |
| 7 | 4.4 | -3.9356 | 0.8995 |